Entry 1:
! TbHoZr2 (PBE, optimized geometry); values from VASP
! energy relative to the lowest polymorph listed for this composition = 0.000 eV per atom
! SG = C2/m, No. 12
! E_form = 0.08 eV per atom
&SYSTEM
  ibrav = 0, nat = 8, ntyp = 3
/
ATOMIC_SPECIES
Zr 91.22 Zr.upf
Tb 158.93 Tb.upf
Ho 164.93 Ho.upf
ATOMIC_POSITIONS crystal
Zr 0.6320 0.1913 0.7632
Tb 0.5000 0.0000 0.5000
Ho 0.8672 0.3027 0.2357
Ho 0.1328 0.6973 0.7643
Zr 0.2469 0.2311 0.9937
Tb 0.0000 0.5000 0.5000
Zr 0.3680 0.8087 0.2368
Zr 0.7531 0.7689 0.0063
CELL_PARAMETERS angstrom
3.3614 0.0563 -0.2555
0.0137 5.7724 1.3763
-0.8268 0.4218 11.2810

---

Entry 2:
! Er2PuSe3 (PBE, optimized geometry); values from VASP
! energy relative to the elements, uncorrected = -1.669 eV per atom
! SG = Immm, No. 71
&SYSTEM
  ibrav = 0, nat = 6, ntyp = 3
/
ATOMIC_SPECIES
Er 167.26 Er.upf
Se 78.96 Se.upf
Pu 244.00 Pu.upf
ATOMIC_POSITIONS crystal
Er 0.1658 0.1658 0.8317
Er 0.8342 0.8342 0.1683
Se 0.1711 0.6711 0.8422
Pu 0.5000 0.5000 0.5000
Se 0.8289 0.3289 0.1578
Se 0.5000 0.0000 0.5000
CELL_PARAMETERS angstrom
3.8795 0.0000 -1.1743
-0.7126 5.2005 -2.3543
0.0224 0.0215 7.0695

---

Entry 3:
! Ac2AgTe4 (PBE, optimized geometry); values from VASP
! energy relative to the elements, uncorrected = -1.165 eV per atom
! SG = P2_1/m, No. 11
&SYSTEM
  ibrav = 0, nat = 14, ntyp = 3
/
ATOMIC_SPECIES
Te 127.60 Te.upf
Ac 227.00 Ac.upf
Ag 107.87 Ag.upf
ATOMIC_POSITIONS crystal
Te 0.4819 0.5089 0.7480
Te 0.5181 0.0089 0.2520
Ac 0.7706 0.7500 0.0669
Te 0.9259 0.2500 0.5939
Ac 0.2294 0.2500 0.9331
Te 0.4819 0.9911 0.7480
Te 0.0741 0.7500 0.4061
Ag 0.7774 0.2500 0.8198
Ac 0.2440 0.2500 0.4349
Ag 0.2226 0.7500 0.1802
Ac 0.7560 0.7500 0.5651
Te 0.0723 0.7500 0.8799
Te 0.9277 0.2500 0.1201
Te 0.5181 0.4911 0.2520
CELL_PARAMETERS angstrom
8.1043 0.0000 0.1011
0.0000 6.4766 0.0000
-2.8662 0.0000 9.0105

---

Copy entry 3 word for word.
! Ac2AgTe4 (PBE, optimized geometry); values from VASP
! energy relative to the elements, uncorrected = -1.165 eV per atom
! SG = P2_1/m, No. 11
&SYSTEM
  ibrav = 0, nat = 14, ntyp = 3
/
ATOMIC_SPECIES
Te 127.60 Te.upf
Ac 227.00 Ac.upf
Ag 107.87 Ag.upf
ATOMIC_POSITIONS crystal
Te 0.4819 0.5089 0.7480
Te 0.5181 0.0089 0.2520
Ac 0.7706 0.7500 0.0669
Te 0.9259 0.2500 0.5939
Ac 0.2294 0.2500 0.9331
Te 0.4819 0.9911 0.7480
Te 0.0741 0.7500 0.4061
Ag 0.7774 0.2500 0.8198
Ac 0.2440 0.2500 0.4349
Ag 0.2226 0.7500 0.1802
Ac 0.7560 0.7500 0.5651
Te 0.0723 0.7500 0.8799
Te 0.9277 0.2500 0.1201
Te 0.5181 0.4911 0.2520
CELL_PARAMETERS angstrom
8.1043 0.0000 0.1011
0.0000 6.4766 0.0000
-2.8662 0.0000 9.0105